<w>
Entry from Alexandria: HfSnPS2 after structural relaxation (PBE).

a = 4.837 Å, b = 4.837 Å, c = 4.962 Å
α = 90.00°, β = 90.00°, γ = 90.00°
Space group P4/mmm (No. 123)
Inequivalent atoms, fractional coordinates:
Hf 0.000 0.000 0.000 (multiplicity 1)
Sn 0.500 0.500 0.500 (multiplicity 1)
P 0.500 0.500 0.000 (multiplicity 1)
S 0.000 0.500 0.500 (multiplicity 2)

Calculated values
The calculation puts the density of states at the Fermi level at 2.23 states/eV/cell.

=====

<x>
Entry from Alexandria: HfSnPS2 after structural relaxation (PBE).

a = 4.911 Å, b = 4.911 Å, c = 5.088 Å
α = 90.00°, β = 90.00°, γ = 90.00°
Space group P4/mmm (No. 123)
Inequivalent atoms, fractional coordinates:
Hf 0.000 0.000 0.000 (multiplicity 1)
Sn 0.500 0.500 0.500 (multiplicity 1)
P 0.000 0.000 0.500 (multiplicity 1)
S 0.000 0.500 0.000 (multiplicity 2)

Calculated values
The calculation puts the density of states at the Fermi level at 2.75 states/eV/cell.

=====

Q: Which of them is the most stable? A: <x>.

=====

<w>
Entry from Alexandria: HfSnP2S after structural relaxation (PBE).

a = 4.882 Å, b = 4.882 Å, c = 4.876 Å
α = 90.00°, β = 90.00°, γ = 90.00°
Space group P4/mmm (No. 123)
Inequivalent atoms, fractional coordinates:
Hf 0.000 0.000 0.000 (multiplicity 1)
Sn 0.500 0.500 0.500 (multiplicity 1)
P 0.000 0.500 0.500 (multiplicity 2)
S 0.500 0.500 0.000 (multiplicity 1)

Calculated values
The calculation puts the density of states at the Fermi level at 2.65 states/eV/cell.

=====

<x>
Entry from Alexandria: HfSnP2S after structural relaxation (PBE).

a = 5.031 Å, b = 5.031 Å, c = 4.877 Å
α = 90.00°, β = 90.00°, γ = 90.00°
Space group P4/mmm (No. 123)
Inequivalent atoms, fractional coordinates:
Hf 0.000 0.000 0.000 (multiplicity 1)
Sn 0.500 0.500 0.500 (multiplicity 1)
P 0.000 0.500 0.000 (multiplicity 2)
S 0.000 0.000 0.500 (multiplicity 1)

Calculated values
The calculation puts the density of states at the Fermi level at 4.10 states/eV/cell.

=====

<y>
Entry from Alexandria: HfSnP2S after structural relaxation (PBE).

a = 4.642 Å, b = 4.642 Å, c = 4.843 Å
α = 90.00°, β = 90.00°, γ = 90.00°
Space group P4/mmm (No. 123)
Inequivalent atoms, fractional coordinates:
Hf 0.000 0.000 0.000 (multiplicity 1)
Sn 0.500 0.500 0.000 (multiplicity 1)
P 0.000 0.500 0.500 (multiplicity 2)
S 0.000 0.000 0.500 (multiplicity 1)

Calculated values
The calculation puts the density of states at the Fermi level at 2.96 states/eV/cell.

=====

Q: Which of them is the most stable? A: <x>.

=====

<w>
Entry from Alexandria: SrHfP2S after structural relaxation (PBE).

a = 5.077 Å, b = 5.077 Å, c = 4.624 Å
α = 90.00°, β = 90.00°, γ = 90.00°
Space group P4/mmm (No. 123)
Inequivalent atoms, fractional coordinates:
Sr 0.000 0.000 0.000 (multiplicity 1)
Hf 0.500 0.500 0.000 (multiplicity 1)
P 0.000 0.500 0.500 (multiplicity 2)
S 0.500 0.500 0.500 (multiplicity 1)

Calculated values
The calculation puts the density of states at the Fermi level at 3.19 states/eV/cell.

=====

<x>
Entry from Alexandria: SrHfP2S after structural relaxation (PBE).

a = 5.130 Å, b = 5.130 Å, c = 5.191 Å
α = 90.00°, β = 90.00°, γ = 90.00°
Space group P4/mmm (No. 123)
Inequivalent atoms, fractional coordinates:
Sr 0.000 0.000 0.000 (multiplicity 1)
Hf 0.500 0.500 0.500 (multiplicity 1)
P 0.000 0.500 0.000 (multiplicity 2)
S 0.000 0.000 0.500 (multiplicity 1)

Calculated values
The calculation puts the density of states at the Fermi level at 4.21 states/eV/cell.

=====

<y>
Entry from Alexandria: SrHfP2S after structural relaxation (PBE).

a = 5.016 Å, b = 5.016 Å, c = 4.988 Å
α = 90.00°, β = 90.00°, γ = 90.00°
Space group P4/mmm (No. 123)
Inequivalent atoms, fractional coordinates:
Sr 0.000 0.000 0.000 (multiplicity 1)
Hf 0.500 0.500 0.500 (multiplicity 1)
P 0.000 0.500 0.500 (multiplicity 2)
S 0.500 0.500 0.000 (multiplicity 1)

Calculated values
The calculation puts the density of states at the Fermi level at 4.97 states/eV/cell.

=====

Q: Which of them is the most stable? A: <y>.

=====

<w>
Entry from Alexandria: HfTlP2S after structural relaxation (PBE).

a = 4.926 Å, b = 4.926 Å, c = 4.958 Å
α = 90.00°, β = 90.00°, γ = 90.00°
Space group P4/mmm (No. 123)
Inequivalent atoms, fractional coordinates:
Hf 0.000 0.000 0.000 (multiplicity 1)
Tl 0.500 0.500 0.500 (multiplicity 1)
P 0.000 0.500 0.500 (multiplicity 2)
S 0.500 0.500 0.000 (multiplicity 1)

Calculated values
The calculation puts the density of states at the Fermi level at 3.68 states/eV/cell.

=====

<x>
Entry from Alexandria: HfTlP2S after structural relaxation (PBE).

a = 5.067 Å, b = 5.067 Å, c = 4.969 Å
α = 90.00°, β = 90.00°, γ = 90.00°
Space group P4/mmm (No. 123)
Inequivalent atoms, fractional coordinates:
Hf 0.000 0.000 0.000 (multiplicity 1)
Tl 0.500 0.500 0.500 (multiplicity 1)
P 0.000 0.500 0.000 (multiplicity 2)
S 0.000 0.000 0.500 (multiplicity 1)

Calculated values
The calculation puts the density of states at the Fermi level at 4.65 states/eV/cell.

=====

Q: Which of them is the most stable? A: <x>.